An optimized crystal structure of Tb2ScNiO6. Source: the Alexandria database, functional PBE+U.

abc: 5.310 5.549 9.469
angles: 90.00 121.52 90.00
Space group P2_1/c (No. 14)
One atom of each set of equivalent atoms:
Tb 0.221 0.064 0.244 x4
Sc 0.500 0.000 0.000 x2
Ni 0.000 0.000 0.500 x2
O 0.130 0.212 0.941 x4
O 0.219 0.694 0.933 x4
O 0.372 0.043 0.754 x4

Output
Final energy: -7.61 eV/atom
Crystal system: monoclinic
Mass density: 7226 kg/m³